# 1
First-principles (SCAN) data for a crystal of Zn2CoCu relaxed with PBEsol, as listed in Alexandria via LeMat-Bulk.

Unit cell a=2.798 b=4.074 c=4.837 alpha=114.91 beta=106.81 gamma=90.00
Site moments in Bohr magnetons follow the coordinates.
Atoms (fractional coordinates):
Cu (0.247, 0.747, 0.494)  0.02
Zn (0.997, 0.997, 0.994)  -0.01
Zn (0.756, 0.256, 0.511)  0.01
Co (0.500, 0.500, 0.000)  1.67

Properties
Symmetry ... Imm2, No. 44
Formation energy from the elements ... 21.9 meV per atom
Crystal system ... orthorhombic

=====

# 2
First-principles (SCAN) data for a crystal of Zn2CoCu relaxed with PBEsol, as listed in Alexandria via LeMat-Bulk.

Unit cell a=2.583 b=4.375 c=4.504 alpha=101.31 beta=106.66 gamma=90.00
Site moments in Bohr magnetons follow the coordinates.
Atoms (fractional coordinates):
Co (0.498, 0.513, 0.996)  1.63
Zn (0.245, 0.726, 0.490)  -0.01
Zn (0.003, 0.019, 0.005)  -0.04
Cu (0.754, 0.242, 0.508)  0.00

Properties
Symmetry ... Cm, No. 8
Formation energy from the elements ... 16.5 meV per atom
Crystal system ... monoclinic

=====

# 3
First-principles (SCAN) data for a crystal of ZnCoCu2 relaxed with PBEsol, as listed in Alexandria via LeMat-Bulk.

Unit cell a=2.533 b=2.533 c=7.154 alpha=90.00 beta=90.00 gamma=90.00
Site moments in Bohr magnetons follow the coordinates.
Atoms (fractional coordinates):
Co (0.500, 0.500, 0.755)  1.71
Cu (0.000, 0.000, 0.996)  0.02
Cu (0.500, 0.500, 0.244)  -0.02
Zn (0.000, 0.000, 0.504)  -0.04

Properties
Symmetry ... P4mm, No. 99
Formation energy from the elements ... 32.8 meV per atom
Crystal system ... tetragonal

=====

# 4
First-principles (SCAN) data for a crystal of Zn2CoCu relaxed with PBEsol, as listed in Alexandria via LeMat-Bulk.

Unit cell a=2.824 b=4.096 c=4.096 alpha=97.07 beta=90.00 gamma=90.00
Site moments in Bohr magnetons follow the coordinates.
Atoms (fractional coordinates):
Zn (0.000, 0.500, 0.000)  -0.01
Zn (0.000, 0.000, 0.500)  -0.01
Co (0.500, 0.000, 0.000)  0.24
Cu (0.500, 0.500, 0.500)  -0.01

Properties
Symmetry ... Cmmm, No. 65
Formation energy from the elements ... 16.6 meV per atom
Crystal system ... orthorhombic

=====

# 5
First-principles (SCAN) data for a crystal of Zn2CoCu relaxed with PBEsol, as listed in Alexandria via LeMat-Bulk.

Unit cell a=2.665 b=2.665 c=6.651 alpha=90.00 beta=90.00 gamma=90.00
Site moments in Bohr magnetons follow the coordinates.
Atoms (fractional coordinates):
Co (0.500, 0.500, 0.000)  1.65
Zn (0.000, 0.000, 0.760)  -0.01
Zn (0.000, 0.000, 0.240)  -0.01
Cu (0.500, 0.500, 0.500)  0.01

Properties
Symmetry ... P4/mmm, No. 123
Formation energy from the elements ... -49.9 meV per atom
Crystal system ... tetragonal

=====

# 6
First-principles (SCAN) data for a crystal of Zn2CoCu relaxed with PBEsol, as listed in Alexandria via LeMat-Bulk.

Unit cell a=2.547 b=4.326 c=4.611 alpha=98.61 beta=90.00 gamma=107.12
Site moments in Bohr magnetons follow the coordinates.
Atoms (fractional coordinates):
Zn (0.252, 0.503, 0.255)  -0.02
Zn (0.748, 0.497, 0.745)  -0.02
Cu (0.500, 0.000, 0.000)  0.01
Co (0.000, 0.000, 0.500)  1.59

Properties
Symmetry ... C2/m, No. 12
Formation energy from the elements ... 32.6 meV per atom
Crystal system ... monoclinic

=====

# 7
First-principles (SCAN) data for a crystal of ZnCo2Cu relaxed with PBEsol, as listed in Alexandria via LeMat-Bulk.

Unit cell a=2.535 b=3.447 c=5.116 alpha=90.00 beta=90.00 gamma=90.00
Site moments in Bohr magnetons follow the coordinates.
Atoms (fractional coordinates):
Co (0.500, 0.000, 0.021)  1.63
Co (0.000, 0.500, 0.232)  1.75
Cu (0.500, 0.000, 0.498)  0.02
Zn (0.000, 0.500, 0.749)  -0.05

Properties
Symmetry ... Pmm2, No. 25
Formation energy from the elements ... 71.9 meV per atom
Crystal system ... orthorhombic

=====

# 8
First-principles (SCAN) data for a crystal of ZrCoCu2 relaxed with PBEsol, as listed in Alexandria via LeMat-Bulk.

Unit cell a=3.312 b=3.312 c=5.015 alpha=90.00 beta=90.00 gamma=90.00
Site moments in Bohr magnetons follow the coordinates.
Atoms (fractional coordinates):
Cu (0.000, 0.000, 0.269)  -0.05
Cu (0.000, 0.000, 0.731)  -0.05
Co (0.500, 0.500, 0.500)  1.27
Zr (0.500, 0.500, 0.000)  -0.25

Properties
Symmetry ... P4/mmm, No. 123
Formation energy from the elements ... 47.8 meV per atom
Crystal system ... tetragonal

=====

# 9
First-principles (SCAN) data for a crystal of ZrCoCu3 relaxed with PBEsol, as listed in Alexandria via LeMat-Bulk.

Unit cell a=4.279 b=4.279 c=4.279 alpha=90.00 beta=90.00 gamma=90.00
Site moments in Bohr magnetons follow the coordinates.
Atoms (fractional coordinates):
Cu (0.000, 0.000, 0.500)  0.06
Cu (0.500, 0.000, 0.000)  0.06
Cu (0.000, 0.500, 0.000)  0.06
Zr (0.500, 0.500, 0.500)  -0.28
Co (0.000, 0.000, 0.000)  1.91

Properties
Symmetry ... Pm-3m, No. 221
Formation energy from the elements ... 616.8 meV per atom
Crystal system ... cubic

=====

# 10
First-principles (SCAN) data for a crystal of ZrCoCu2 relaxed with PBEsol, as listed in Alexandria via LeMat-Bulk.

Unit cell a=3.581 b=3.581 c=4.832 alpha=111.75 beta=111.75 gamma=90.00
Atoms (fractional coordinates):
Co (0.500, 0.500, 0.000)
Cu (0.750, 0.250, 0.500)
Cu (0.250, 0.750, 0.500)
Zr (0.000, 0.000, 0.000)

Properties
Symmetry ... I4/mmm, No. 139
Formation energy from the elements ... -109.9 meV per atom
Crystal system ... tetragonal

=====

# 11
First-principles (SCAN) data for a crystal of ZrCo2Cu relaxed with PBEsol, as listed in Alexandria via LeMat-Bulk.

Unit cell a=3.188 b=3.188 c=5.249 alpha=90.00 beta=90.00 gamma=90.00
Site moments in Bohr magnetons follow the coordinates.
Atoms (fractional coordinates):
Co (0.500, 0.500, 0.245)  1.64
Co (0.000, 0.000, 0.021)  1.50
Cu (0.000, 0.000, 0.471)  -0.01
Zr (0.500, 0.500, 0.763)  -0.28

Properties
Symmetry ... P4mm, No. 99
Formation energy from the elements ... -40.3 meV per atom
Crystal system ... tetragonal

=====

# 12
First-principles (SCAN) data for a crystal of ZrCo4Cu relaxed with PBEsol, as listed in Alexandria via LeMat-Bulk.

Unit cell a=4.694 b=4.694 c=4.694 alpha=60.00 beta=60.00 gamma=60.00
Site moments in Bohr magnetons follow the coordinates.
Atoms (fractional coordinates):
Zr (0.000, 0.000, 0.000)  -0.45
Co (0.873, 0.376, 0.376)  1.53
Co (0.376, 0.376, 0.873)  1.53
Co (0.376, 0.376, 0.376)  1.53
Co (0.376, 0.873, 0.376)  1.53
Cu (0.750, 0.750, 0.750)  -0.01

Properties
Symmetry ... F-43m, No. 216
Formation energy from the elements ... -103.7 meV per atom
Crystal system ... cubic

=====

# 13
First-principles (SCAN) data for a crystal of ZrCoCu2 relaxed with PBEsol, as listed in Alexandria via LeMat-Bulk.

Unit cell a=4.236 b=4.236 c=4.236 alpha=60.00 beta=60.00 gamma=60.00
Site moments in Bohr magnetons follow the coordinates.
Atoms (fractional coordinates):
Cu (0.000, 0.000, 0.000)  -0.03
Cu (0.250, 0.250, 0.250)  -0.01
Co (0.500, 0.500, 0.500)  -1.46
Zr (0.750, 0.750, 0.750)  0.17

Properties
Symmetry ... F-43m, No. 216
Formation energy from the elements ... -105.7 meV per atom
Crystal system ... cubic

=====

# 14
First-principles (SCAN) data for a crystal of ZrCo2Cu relaxed with PBEsol, as listed in Alexandria via LeMat-Bulk.

Unit cell a=3.643 b=3.643 c=4.655 alpha=113.04 beta=113.04 gamma=90.00
Site moments in Bohr magnetons follow the coordinates.
Atoms (fractional coordinates):
Co (0.000, 0.000, 0.000)  1.39
Co (0.750, 0.250, 0.500)  1.10
Cu (0.500, 0.500, 0.000)  -0.02
Zr (0.250, 0.750, 0.500)  -0.33

Properties
Symmetry ... I-4m2, No. 119
Formation energy from the elements ... -73.0 meV per atom
Crystal system ... tetragonal

=====

# 15
First-principles (SCAN) data for a crystal of Dy3Co relaxed with PBEsol, as listed in Alexandria via LeMat-Bulk.

Unit cell a=6.086 b=6.792 c=9.265 alpha=90.00 beta=90.00 gamma=90.00
Atoms (fractional coordinates):
Dy (0.824, 0.826, 0.933)
Dy (0.176, 0.174, 0.067)
Dy (0.141, 0.458, 0.750)
Dy (0.676, 0.326, 0.567)
Dy (0.641, 0.042, 0.250)
Dy (0.824, 0.826, 0.567)
Dy (0.859, 0.542, 0.250)
Dy (0.324, 0.674, 0.433)
Dy (0.359, 0.958, 0.750)
Dy (0.324, 0.674, 0.067)
Dy (0.176, 0.174, 0.433)
Dy (0.676, 0.326, 0.933)
Co (0.448, 0.387, 0.250)
Co (0.948, 0.113, 0.750)
Co (0.052, 0.887, 0.250)
Co (0.552, 0.613, 0.750)

Properties
Symmetry ... Pnma, No. 62
Formation energy from the elements ... -118.5 meV per atom
Crystal system ... orthorhombic

=====

# 16
First-principles (SCAN) data for a crystal of DyCo2 relaxed with PBEsol, as listed in Alexandria via LeMat-Bulk.

Unit cell a=4.963 b=4.963 c=4.963 alpha=60.00 beta=60.00 gamma=60.00
Site moments in Bohr magnetons follow the coordinates.
Atoms (fractional coordinates):
Dy (0.750, 0.750, 0.750)  -0.51
Dy (0.500, 0.500, 0.500)  -0.51
Co (0.125, 0.125, 0.125)  1.26
Co (0.625, 0.125, 0.125)  1.26
Co (0.125, 0.625, 0.125)  1.26
Co (0.125, 0.125, 0.625)  1.26

Properties
Symmetry ... Fd-3m, No. 227
Formation energy from the elements ... -154.0 meV per atom
Crystal system ... cubic

=====

# 17
First-principles (SCAN) data for a crystal of Dy12Co7 relaxed with PBEsol, as listed in Alexandria via LeMat-Bulk.

Unit cell a=8.113 b=9.002 c=11.023 alpha=90.00 beta=90.00 gamma=102.00
Atoms (fractional coordinates):
Dy (0.571, 0.310, 0.070)
Dy (0.071, 0.810, 0.430)
Dy (0.929, 0.190, 0.570)
Dy (0.275, 0.040, 0.206)
Dy (0.146, 0.913, 0.931)
Dy (0.077, 0.324, 0.301)
Dy (0.197, 0.354, 0.997)
Dy (0.337, 0.841, 0.661)
Dy (0.775, 0.540, 0.294)
Dy (0.697, 0.854, 0.503)
Dy (0.663, 0.159, 0.339)
Dy (0.577, 0.824, 0.199)
Dy (0.854, 0.087, 0.069)
Dy (0.803, 0.646, 0.003)
Dy (0.646, 0.413, 0.569)
Dy (0.423, 0.176, 0.801)
Dy (0.354, 0.587, 0.431)
Dy (0.837, 0.341, 0.839)
Dy (0.303, 0.146, 0.497)
Dy (0.923, 0.676, 0.699)
Dy (0.725, 0.960, 0.794)
Dy (0.429, 0.690, 0.930)
Dy (0.225, 0.460, 0.706)
Dy (0.163, 0.659, 0.161)
Co (0.906, 0.401, 0.100)
Co (0.594, 0.099, 0.600)
Co (0.066, 0.974, 0.679)
Co (0.406, 0.901, 0.400)
Co (0.566, 0.474, 0.821)
Co (0.944, 0.843, 0.184)
Co (0.094, 0.599, 0.900)
Co (0.444, 0.343, 0.316)
Co (0.500, 0.000, 0.000)
Co (0.434, 0.526, 0.179)
Co (0.934, 0.026, 0.321)
Co (0.000, 0.500, 0.500)
Co (0.056, 0.157, 0.816)
Co (0.556, 0.657, 0.684)

Properties
Symmetry ... P2_1/c, No. 14
Formation energy from the elements ... -110.6 meV per atom
Crystal system ... monoclinic

=====

# 18
First-principles (SCAN) data for a crystal of Dy4Co3 relaxed with PBEsol, as listed in Alexandria via LeMat-Bulk.

Unit cell a=3.943 b=11.048 c=11.048 alpha=120.00 beta=90.00 gamma=90.00
Atoms (fractional coordinates):
Dy (0.751, 0.246, 0.027)
Dy (0.249, 0.027, 0.781)
Dy (0.748, 0.514, 0.380)
Dy (0.249, 0.219, 0.246)
Dy (0.252, 0.486, 0.620)
Dy (0.748, 0.620, 0.135)
Dy (0.751, 0.973, 0.219)
Dy (0.249, 0.754, 0.973)
Dy (0.751, 0.781, 0.754)
Dy (0.252, 0.380, 0.865)
Dy (0.748, 0.865, 0.486)
Dy (0.252, 0.135, 0.514)
Co (0.251, 0.843, 0.280)
Co (0.251, 0.720, 0.562)
Co (0.754, 0.333, 0.667)
Co (0.500, 0.000, 0.000)
Co (0.749, 0.157, 0.720)
Co (0.251, 0.438, 0.157)
Co (0.749, 0.562, 0.843)
Co (0.749, 0.280, 0.438)
Co (0.246, 0.667, 0.333)

Properties
Symmetry ... P-3, No. 147
Formation energy from the elements ... -73.7 meV per atom
Crystal system ... trigonal

=====

# 19
First-principles (SCAN) data for a crystal of Dy4Ga16Co3 relaxed with PBEsol, as listed in Alexandria via LeMat-Bulk.

Unit cell a=5.921 b=5.921 c=10.911 alpha=90.00 beta=90.00 gamma=90.00
Atoms (fractional coordinates):
Dy (0.000, 0.500, 0.195)
Dy (0.000, 0.500, 0.805)
Dy (0.500, 0.000, 0.805)
Dy (0.500, 0.000, 0.195)
Ga (0.000, 0.000, 0.218)
Ga (0.500, 0.500, 0.195)
Ga (0.750, 0.250, 0.384)
Ga (0.720, 0.280, 0.000)
Ga (0.720, 0.720, 0.000)
Ga (0.280, 0.720, 0.000)
Ga (0.000, 0.000, 0.782)
Ga (0.250, 0.250, 0.384)
Ga (0.750, 0.250, 0.616)
Ga (0.280, 0.280, 0.000)
Ga (0.250, 0.750, 0.384)
Ga (0.250, 0.250, 0.616)
Ga (0.500, 0.500, 0.805)
Ga (0.250, 0.750, 0.616)
Ga (0.750, 0.750, 0.384)
Ga (0.750, 0.750, 0.616)
Co (0.500, 0.000, 0.500)
Co (0.000, 0.000, 0.000)
Co (0.000, 0.500, 0.500)

Properties
Symmetry ... P4/mmm, No. 123
Formation energy from the elements ... -568.7 meV per atom
Crystal system ... tetragonal

=====

# 20
First-principles (SCAN) data for a crystal of DyGa5Co relaxed with PBEsol, as listed in Alexandria via LeMat-Bulk.

Unit cell a=4.145 b=4.145 c=6.714 alpha=90.00 beta=90.00 gamma=90.00
Atoms (fractional coordinates):
Ga (0.500, 0.000, 0.690)
Ga (0.500, 0.000, 0.310)
Ga (0.500, 0.500, 0.000)
Ga (0.000, 0.500, 0.310)
Ga (0.000, 0.500, 0.690)
Dy (0.000, 0.000, 0.000)
Co (0.000, 0.000, 0.500)

Properties
Symmetry ... P4/mmm, No. 123
Formation energy from the elements ... -509.1 meV per atom
Crystal system ... tetragonal